The following is a DFT calculation (PBE) of Pu2CuSi after structural relaxation.

Properties
The total magnetization is 11.4 μB/f.u. For the uncorrected formation energy, the calculation gives -0.537 eV per formula unit. The value obtained for the total energy is -9.6799 eV/atom. For the density of states at the Fermi level, the calculation gives 10.39 states/eV/f.u. The value obtained for the volume is 81.5 Å³/cell. Its space group is P4/mmm (123).

Unit cell a=5.2632 b=5.2632 c=2.9429 alpha=90.00 beta=90.00 gamma=90.00
Element x y z (fractional)
Pu  0.0000  0.5000  0.0000
Pu  0.5000  0.0000  0.0000
Cu  0.0000  0.0000  0.5000
Si  0.5000  0.5000  0.5000